No. 1
Crystalline Na2CeHgBi2 at its relaxed geometry. Source: Alexandria via LeMat-Bulk, functional PBE.

Its density of states at the Fermi level is 1.294 states/eV/atom. The total DFT energy (no corrections) is -38.0 eV/cell. As for the energy relative to the elements: -0.391 eV/atom.

The space group is Pmc2_1 (No. 26) and the conventional cell measures 4.699, 9.308 and 8.505 Å, with angles of 90.00, 90.00 and 90.00 degrees. Symmetry generates all atoms from Na at (0.000, 0.070, 0.000), Na at (0.500, 0.164, 0.314), Ce at (0.500, 0.468, 0.926), Hg at (0.000, 0.302, 0.560), Bi at (0.000, 0.385, 0.184) and Bi at (0.500, 0.164, 0.719).

No. 2
Crystalline NaCeHgBi at its relaxed geometry. Source: Alexandria via LeMat-Bulk, functional PBE.

Its density of states at the Fermi level is 2.038 states/eV/atom. The total DFT energy (no corrections) is -52.4 eV/cell. As for the energy relative to the elements: -0.417 eV/atom.

The space group is F-43m (No. 216) and the conventional cell measures 7.703, 7.703 and 7.703 Å, with angles of 90.00, 90.00 and 90.00 degrees. Symmetry generates all atoms from Na at (0.000, 0.000, 0.000), Ce at (0.000, 0.000, 0.500), Hg at (0.250, 0.250, 0.750) and Bi at (0.250, 0.250, 0.250).

No. 3
Crystalline CePmHgBi at its relaxed geometry. Source: Alexandria via LeMat-Bulk, functional PBE.

Its density of states at the Fermi level is 2.537 states/eV/atom. The total DFT energy (no corrections) is -67.6 eV/cell. As for the energy relative to the elements: -0.505 eV/atom.

The space group is F-43m (No. 216) and the conventional cell measures 7.764, 7.764 and 7.764 Å, with angles of 90.00, 90.00 and 90.00 degrees. Symmetry generates all atoms from Ce at (0.000, 0.000, 0.000), Pm at (0.000, 0.000, 0.500), Hg at (0.250, 0.250, 0.750) and Bi at (0.250, 0.250, 0.250).

No. 4
Crystalline CeHgBiSb at its relaxed geometry. Source: Alexandria via LeMat-Bulk, functional PBE.

Its density of states at the Fermi level is 1.099 states/eV/atom. Its energy relative to the lowest polymorph listed for this composition is 0 meV/atom. For the uncorrected formation energy, the calculation gives -2.1 eV per formula unit. The total DFT energy (no corrections) is -16.3 eV/cell.

The space group is Pmmm (No. 47) and the conventional cell measures 4.431, 4.837 and 5.062 Å, with angles of 90.00, 90.00 and 90.00 degrees. Symmetry generates all atoms from Ce at (0.000, 0.000, 0.000), Hg at (0.000, 0.500, 0.500), Bi at (0.500, 0.000, 0.500) and Sb at (0.500, 0.500, 0.000).

No. 5
Crystalline CeHgBiSb at its relaxed geometry. Source: Alexandria via LeMat-Bulk, functional PBE.

Its density of states at the Fermi level is 1.496 states/eV/atom. Its energy relative to the lowest polymorph listed for this composition is 175 meV/atom. For the uncorrected formation energy, the calculation gives -1.4 eV per formula unit. The total DFT energy (no corrections) is -62.4 eV/cell.

The space group is F-43m (No. 216) and the conventional cell measures 7.698, 7.698 and 7.698 Å, with angles of 90.00, 90.00 and 90.00 degrees. Symmetry generates all atoms from Ce at (0.000, 0.000, 0.000), Hg at (0.250, 0.250, 0.250), Bi at (0.000, 0.000, 0.500) and Sb at (0.250, 0.250, 0.750).

No. 6
Crystalline CeSmHgBi at its relaxed geometry. Source: Alexandria via LeMat-Bulk, functional PBE.

Its density of states at the Fermi level is 2.532 states/eV/atom. The total DFT energy (no corrections) is -67.3 eV/cell. As for the energy relative to the elements: -0.498 eV/atom.

The space group is F-43m (No. 216) and the conventional cell measures 7.748, 7.748 and 7.748 Å, with angles of 90.00, 90.00 and 90.00 degrees. Symmetry generates all atoms from Ce at (0.000, 0.000, 0.000), Sm at (0.000, 0.000, 0.500), Hg at (0.250, 0.250, 0.750) and Bi at (0.250, 0.250, 0.250).

No. 7
Crystalline CeSnHgBi at its relaxed geometry. Source: Alexandria via LeMat-Bulk, functional PBE.

Its density of states at the Fermi level is 1.626 states/eV/atom. Its energy relative to the lowest polymorph listed for this composition is 197 meV/atom. The total DFT energy (no corrections) is -60.8 eV/cell. As for the energy relative to the elements: -0.269 eV/atom.

The space group is F-43m (No. 216) and the conventional cell measures 7.722, 7.722 and 7.722 Å, with angles of 90.00, 90.00 and 90.00 degrees. Symmetry generates all atoms from Ce at (0.000, 0.000, 0.000), Sn at (0.000, 0.000, 0.500), Hg at (0.250, 0.250, 0.750) and Bi at (0.250, 0.250, 0.250).

No. 8
Crystalline CeSnHgBi at its relaxed geometry. Source: Alexandria via LeMat-Bulk, functional PBE.

Its density of states at the Fermi level is 1.246 states/eV/atom. Its energy relative to the lowest polymorph listed for this composition is 0 meV/atom. The total DFT energy (no corrections) is -16.0 eV/cell. As for the energy relative to the elements: -0.466 eV/atom.

The space group is Pmmm (No. 47) and the conventional cell measures 4.564, 4.817 and 4.947 Å, with angles of 90.00, 90.00 and 90.00 degrees. Symmetry generates all atoms from Ce at (0.000, 0.000, 0.000), Sn at (0.500, 0.000, 0.500), Hg at (0.000, 0.500, 0.500) and Bi at (0.500, 0.500, 0.000).

No. 9
Crystalline SrCeHgBi at its relaxed geometry. Source: Alexandria via LeMat-Bulk, functional PBE.

Its density of states at the Fermi level is 2.510 states/eV/atom. The total DFT energy (no corrections) is -55.3 eV/cell. As for the energy relative to the elements: -0.505 eV/atom.

The space group is F-43m (No. 216) and the conventional cell measures 7.976, 7.976 and 7.976 Å, with angles of 90.00, 90.00 and 90.00 degrees. Symmetry generates all atoms from Sr at (0.000, 0.000, 0.000), Ce at (0.000, 0.000, 0.500), Hg at (0.250, 0.250, 0.250) and Bi at (0.250, 0.250, 0.750).

No. 10
Crystalline Ce2HoBi at its relaxed geometry. Source: Alexandria via LeMat-Bulk, functional PBE.

Its density of states at the Fermi level is 2.541 states/eV/atom. Its energy relative to the lowest polymorph listed for this composition is 513 meV/atom. The total DFT energy (no corrections) is -59.8 eV/cell. As for the energy relative to the elements: 0.101 eV/atom.

The space group is R-3m (No. 166, hexagonal axes) and the conventional cell measures 3.4392, 3.4392 and 37.0530 Å, with angles of 90.00, 90.00 and 120.00 degrees. Symmetry generates all atoms from Ce at (0.0000, 0.0000, 0.0881), Ho at (0.0000, 0.0000, 0.5000) and Bi at (0.0000, 0.0000, 0.0000).

No. 11
Crystalline Ce5HoBi3 at its relaxed geometry. Source: Alexandria via LeMat-Bulk, functional PBE.

Its density of states at the Fermi level is 3.202 states/eV/atom. The total DFT energy (no corrections) is -99.8 eV/cell. As for the energy relative to the elements: -0.443 eV/atom.

The space group is P6_3/mcm (No. 193) and the conventional cell measures 9.6724, 9.6724 and 6.6146 Å, with angles of 90.00, 90.00 and 120.00 degrees. Symmetry generates all atoms from Ce at (0.0000, 0.3261, 0.2500), Ce at (0.3333, 0.6667, 0.0000), Ho at (0.0000, 0.0000, 0.0000) and Bi at (0.0000, 0.3402, 0.7500).

No. 12
Crystalline CeHoBi2 at its relaxed geometry. Source: Alexandria via LeMat-Bulk, functional PBE.

Its density of states at the Fermi level is 1.846 states/eV/atom. Its energy relative to the lowest polymorph listed for this composition is 197 meV/atom. The total DFT energy (no corrections) is -20.7 eV/cell. As for the energy relative to the elements: -0.618 eV/atom.

The space group is P4/mmm (No. 123) and the conventional cell measures 4.133, 4.133 and 6.915 Å, with angles of 90.00, 90.00 and 90.00 degrees. Symmetry generates all atoms from Ce at (0.000, 0.000, 0.000), Ho at (0.000, 0.000, 0.500) and Bi at (0.500, 0.500, 0.254).

Q: Look up the density of states at the Fermi level of the sixth one.
A: 2.532 states/eV/atom

Q: Which of these has the lowest density of states at the Fermi level?
A: number 4

Please write out number 9 again, unchanged.
Crystalline SrCeHgBi at its relaxed geometry. Source: Alexandria via LeMat-Bulk, functional PBE.

Its density of states at the Fermi level is 2.510 states/eV/atom. The total DFT energy (no corrections) is -55.3 eV/cell. As for the energy relative to the elements: -0.505 eV/atom.

The space group is F-43m (No. 216) and the conventional cell measures 7.976, 7.976 and 7.976 Å, with angles of 90.00, 90.00 and 90.00 degrees. Symmetry generates all atoms from Sr at (0.000, 0.000, 0.000), Ce at (0.000, 0.000, 0.500), Hg at (0.250, 0.250, 0.250) and Bi at (0.250, 0.250, 0.750).